The following is a PBE-GGA calculation of a relaxed In2IrAu crystal, from Alexandria.

Summary:
- Calculated density: 13.639 g/cm3
- Density of states at the Fermi level: 1.9 states/eV/cell
- DFT formation energy: -0.036 eV/atom

abc: 3.1625 3.1625 7.5329
angles: 90.00 90.00 90.00
Space group P4/mmm (No. 123)
Symmetry-distinct sites (fractional):
In  0.0000  0.0000  0.2315 x2
Ir  0.5000  0.5000  0.0000 x1
Au  0.5000  0.5000  0.5000 x1